Density functional theory data (PBE) for a relaxed Sc2Al2Sn crystal.

The space group is P4/mbm (No. 127) and the conventional cell measures 7.043, 7.043 and 4.192 Å, with angles of 90.00, 90.00 and 90.00 degrees. The inequivalent atoms are Sc at (0.169, 0.331, 0.000), Al at (0.126, 0.626, 0.500) and Sn at (0.000, 0.000, 0.500).

For the excess energy over the best structure of this formula in the dataset, the calculation gives 0 meV per atom. The value obtained for the total energy is -52.5 eV per cell. The value obtained for the energy relative to the elements is -0.422 eV/atom.